A plane-wave DFT calculation with GGA-PBE was carried out for a geometry-optimized ZrTeSeBr2 structure.

Results
energy relative to the lowest polymorph listed for this composition	989	meV per atom
magnetization	2.59	Bohr magnetons per cell
space group	P4/mmm, No. 123
density	4.438	g/cm3
calculated total energy	-3.1369	eV/atom

```
ZrTeSeBr2
1.0
-0.4487 3.7060 4.1412
-4.2962 -2.8667 2.0999
3.4822 -2.9853 3.0488
Te Se Br Zr
1 1 2 1
Direct
0.0000 0.0000 0.0000
0.0000 0.0000 0.5000
0.0000 0.5000 0.0000
0.5000 0.0000 0.0000
0.5000 0.5000 0.5000
```

A plane-wave DFT calculation with GGA-PBE was carried out for a geometry-optimized ZrTeSeBr2 structure.

Results
energy relative to the lowest polymorph listed for this composition	0	meV per atom
magnetization	2.30	Bohr magnetons per cell
space group	P4/mmm, No. 123
density	4.944	g/cm3
calculated total energy	-4.1259	eV/atom

```
ZrTeSeBr2
1.0
5.4170 0.0000 0.0000
0.0000 5.4170 0.0000
0.0000 0.0000 5.2379
Te Se Br Zr
1 1 2 1
Direct
0.5000 0.5000 0.5000
0.0000 0.0000 0.5000
0.0000 0.5000 0.0000
0.5000 0.0000 0.0000
0.0000 0.0000 0.0000
```

A plane-wave DFT calculation with GGA-PBE was carried out for a geometry-optimized ThSeBr structure.

Results
magnetization	0.49	Bohr magnetons per cell
space group	P3m1, No. 156
density	6.090	g/cm3
calculated total energy	-5.6511	eV/atom

```
ThSeBr
1.0
-6.9220 1.9641 -1.0164
0.3464 -0.8546 -4.0106
-1.2155 -2.9232 2.6292
Se Br Th
1 1 1
Direct
0.5741 0.3333 0.6667
0.0790 0.0000 0.0000
0.3470 0.6667 0.3333
```

A plane-wave DFT calculation with GGA-PBE was carried out for a geometry-optimized Th2Se2Br structure.

Results
magnetization	0.00	Bohr magnetons per cell
space group	Immm, No. 71
density	7.680	g/cm3
calculated total energy	-6.1538	eV/atom

```
Th2Se2Br
1.0
-3.4654 2.0637 0.5470
-2.8223 -3.8786 -3.2471
1.8936 -2.5863 6.6100
Th Se Br
2 2 1
Direct
0.6782 0.1782 0.3565
0.3218 0.8218 0.6435
0.3459 0.3459 0.6919
0.6541 0.6541 0.3081
0.0000 0.0000 0.0000
```

A plane-wave DFT calculation with GGA-PBE was carried out for a geometry-optimized ThSeBr3 structure.

Results
magnetization	1.90	Bohr magnetons per cell
space group	Ima2, No. 46
density	3.664	g/cm3
calculated total energy	-4.4656	eV/atom

```
ThSeBr3
1.0
8.5731 0.0449 2.0527
-4.1690 7.4913 -2.0527
-2.5046 -3.5913 7.6514
Th Se Br
2 2 6
Direct
0.5767 0.0579 0.0188
0.0390 0.5579 0.9812
0.4502 0.7892 0.1610
0.6281 0.2892 0.8390
0.9291 0.2120 0.6588
0.9291 0.7703 0.2171
0.5532 0.7120 0.7829
0.9935 0.3290 0.1645
0.5532 0.2703 0.3412
0.1644 0.8290 0.8355
```

A plane-wave DFT calculation with GGA-PBE was carried out for a geometry-optimized ThSeBr structure.

Results
magnetization	0.00	Bohr magnetons per cell
space group	Cm, No. 8
density	8.002	g/cm3
calculated total energy	-5.5355	eV/atom

```
ThSeBr
1.0
4.3672 0.8105 -0.1960
0.3537 4.4277 -0.1960
-1.7671 -1.9607 8.6634
Se Br Th
2 2 2
Direct
0.2349 0.2348 0.8195
0.2348 0.2349 0.3195
0.8500 0.8501 0.0102
0.8501 0.8500 0.5102
0.5383 0.5384 0.1670
0.5384 0.5383 0.6670
```

A plane-wave DFT calculation with GGA-PBE was carried out for a geometry-optimized ThSeBr structure.

Results
magnetization	0.00	Bohr magnetons per cell
space group	P2_1/m, No. 11
density	5.725	g/cm3
calculated total energy	-5.8076	eV/atom

```
ThSeBr
1.0
4.1214 0.0000 -0.4575
0.0000 5.8019 0.0000
-0.1706 0.0000 9.5026
Th Se Br
2 2 2
Direct
0.2820 0.2500 0.1090
0.7180 0.7500 0.8910
0.7147 0.2500 0.8798
0.2853 0.7500 0.1202
0.8482 0.2500 0.3338
0.1518 0.7500 0.6662
```

A plane-wave DFT calculation with GGA-PBE was carried out for a geometry-optimized Th2TiSe2Br4 structure.

Results
magnetization	0.17	Bohr magnetons per cell
space group	P3m1, No. 156
density	5.960	g/cm3
calculated total energy	-5.2963	eV/atom

```
Th2TiSe2Br4
1.0
3.7000 0.0000 0.0000
-1.8500 3.2043 0.0000
0.0000 0.0000 23.2539
Th Ti Se Br
2 1 2 4
Direct
0.0000 0.0000 0.9929
0.6667 0.3333 0.6399
0.0000 0.0000 0.3261
0.6667 0.3333 0.3937
0.6667 0.3333 0.2587
0.0000 0.0000 0.5479
0.6667 0.3333 0.0851
0.6667 0.3333 0.8999
0.0000 0.0000 0.7329
```

A plane-wave DFT calculation with GGA-PBE was carried out for a geometry-optimized ThTl2Se2Br2 structure.

Results
magnetization	0.00	Bohr magnetons per cell
space group	I4/mmm, No. 139
density	5.843	g/cm3
calculated total energy	-4.4074	eV/atom

```
ThTl2Se2Br2
1.0
-1.8632 -1.8159 5.1114
5.4000 -1.1328 1.5660
-1.0267 9.1570 -0.3389
Th Tl Se Br
1 2 2 2
Direct
0.0000 0.0000 0.0000
0.3807 0.3808 0.7615
0.6193 0.6192 0.2385
0.0000 0.5000 0.0000
0.5000 0.0000 0.0000
0.1732 0.1732 0.3465
0.8268 0.8268 0.6535
```

A plane-wave DFT calculation with GGA-PBE was carried out for a geometry-optimized Th2VSe2Br4 structure.

Results
magnetization	1.12	Bohr magnetons per cell
space group	P3m1, No. 156
density	6.075	g/cm3
calculated total energy	-5.2957	eV/atom

```
Th2VSe2Br4
1.0
3.6528 0.0000 0.0000
-1.8264 3.1634 0.0000
0.0000 0.0000 23.4788
Th V Se Br
2 1 2 4
Direct
0.0000 0.0000 0.9940
0.6667 0.3333 0.6395
0.0000 0.0000 0.3254
0.6667 0.3333 0.3905
0.6667 0.3333 0.2604
0.0000 0.0000 0.5472
0.6667 0.3333 0.0865
0.6667 0.3333 0.9010
0.0000 0.0000 0.7326
```

A plane-wave DFT calculation with GGA-PBE was carried out for a geometry-optimized Ti3SeBr structure.

Results
energy relative to the lowest polymorph listed for this composition	0	meV per atom
magnetization	2.55	Bohr magnetons per cell
space group	Pm-3m, No. 221
density	4.544	g/cm3
calculated total energy	-5.4981	eV/atom

```
Ti3SeBr
1.0
4.7993 0.0000 0.0000
0.0000 4.7993 0.0000
0.0000 0.0000 4.7993
Se Br Ti
1 1 3
Direct
0.0000 0.0000 0.0000
0.5000 0.5000 0.5000
0.0000 0.5000 0.0000
0.0000 0.0000 0.5000
0.5000 0.0000 0.0000
```

A plane-wave DFT calculation with GGA-PBE was carried out for a geometry-optimized TiSeBr2 structure.

Results
energy relative to the lowest polymorph listed for this composition	0	meV per atom
magnetization	0.00	Bohr magnetons per cell
space group	I-42d, No. 122
density	4.232	g/cm3
calculated total energy	-4.4192	eV/atom

```
TiSeBr2
1.0
-5.0345 6.3362 -5.2269
0.4060 -5.9312 -7.5809
-4.3781 -0.8495 -5.6914
Se Br Ti
2 4 2
Direct
0.0000 0.0000 0.0000
0.7500 0.2500 0.5000
0.4762 0.1250 0.2500
0.2738 0.6250 0.2500
0.3750 0.5238 0.7500
0.8750 0.7262 0.7500
0.5000 0.5000 0.0000
0.2500 0.7500 0.5000
```

A plane-wave DFT calculation with GGA-PBE was carried out for a geometry-optimized TiSeBr2 structure.

Results
energy relative to the lowest polymorph listed for this composition	274	meV per atom
magnetization	0.00	Bohr magnetons per cell
space group	R-3m, No. 166
density	4.598	g/cm3
calculated total energy	-4.1449	eV/atom

```
TiSeBr2
1.0
-9.6190 -3.1716 4.3721
-7.9882 -6.0499 4.6137
-7.6653 -3.7563 6.9881
Se Br Ti
1 2 1
Direct
0.0000 0.0000 0.0000
0.8870 0.8870 0.8870
0.1130 0.1130 0.1130
0.5000 0.5000 0.5000
```

A plane-wave DFT calculation with GGA-PBE was carried out for a geometry-optimized TiSeBr2 structure.

Results
energy relative to the lowest polymorph listed for this composition	842	meV per atom
magnetization	0.43	Bohr magnetons per cell
space group	R-3m, No. 166
density	3.763	g/cm3
calculated total energy	-3.5772	eV/atom

```
TiSeBr2
1.0
-2.7806 4.1806 11.9433
0.5181 4.9016 11.9815
-1.6799 7.1183 10.6938
Se Br Ti
1 2 1
Direct
0.5000 0.5000 0.5000
0.9394 0.9394 0.9394
0.0606 0.0606 0.0606
0.0000 0.0000 0.0000
```

A plane-wave DFT calculation with GGA-PBE was carried out for a geometry-optimized TiSeBr2 structure.

Results
energy relative to the lowest polymorph listed for this composition	832	meV per atom
magnetization	0.00	Bohr magnetons per cell
space group	Fm-3m, No. 225
density	5.735	g/cm3
calculated total energy	-3.5873	eV/atom

```
TiSeBr2
1.0
0.0000 3.4620 3.4620
3.4620 0.0000 3.4620
3.4620 3.4620 0.0000
Se Br Ti
1 2 1
Direct
0.5000 0.5000 0.5000
0.2500 0.2500 0.2500
0.7500 0.7500 0.7500
0.0000 0.0000 0.0000
```

A plane-wave DFT calculation with GGA-PBE was carried out for a geometry-optimized Ti2SeBr structure.

Results
energy relative to the lowest polymorph listed for this composition	0	meV per atom
magnetization	0.92	Bohr magnetons per cell
space group	Fm-3m, No. 225
density	6.227	g/cm3
calculated total energy	-5.6934	eV/atom

```
Ti2SeBr
1.0
0.1420 -3.9192 2.3639
-3.8927 -2.0647 1.2458
-1.2506 -3.9257 -1.9984
Se Br Ti
1 1 2
Direct
0.0000 0.0000 0.0000
0.5000 0.5000 0.5000
0.2500 0.2500 0.2500
0.7500 0.7500 0.7500
```

A plane-wave DFT calculation with GGA-PBE was carried out for a geometry-optimized Ti2SeBr structure.

Results
energy relative to the lowest polymorph listed for this composition	179	meV per atom
magnetization	7.93	Bohr magnetons per cell
space group	I-42d, No. 122
density	4.141	g/cm3
calculated total energy	-5.5146	eV/atom

```
Ti2SeBr
1.0
-4.8164 -2.8336 2.6071
0.4815 -4.5855 -4.0946
1.1597 -6.3177 2.5683
Se Br Ti
2 2 4
Direct
0.5000 0.5000 0.0000
0.2500 0.7500 0.5000
0.0000 0.0000 0.0000
0.7500 0.2500 0.5000
0.6139 0.1250 0.2500
0.1361 0.6250 0.2500
0.3750 0.3861 0.7500
0.8750 0.8639 0.7500
```

A plane-wave DFT calculation with GGA-PBE was carried out for a geometry-optimized TiTlSe2Br structure.

Results
energy relative to the lowest polymorph listed for this composition	0	meV per atom
magnetization	0.00	Bohr magnetons per cell
space group	P4/mmm, No. 123
density	6.076	g/cm3
calculated total energy	-4.5364	eV/atom

```
TiTlSe2Br
1.0
4.9869 0.0000 0.0000
0.0000 4.9869 0.0000
0.0000 0.0000 5.3860
Tl Se Br Ti
1 2 1 1
Direct
0.5000 0.5000 0.5000
0.0000 0.5000 0.0000
0.5000 0.0000 0.0000
0.0000 0.0000 0.5000
0.0000 0.0000 0.0000
```

A plane-wave DFT calculation with GGA-PBE was carried out for a geometry-optimized TiVSe2Br structure.

Results
energy relative to the lowest polymorph listed for this composition	0	meV per atom
magnetization	3.88	Bohr magnetons per cell
space group	P4/mmm, No. 123
density	4.508	g/cm3
calculated total energy	-5.1867	eV/atom

```
TiVSe2Br
1.0
4.9968 0.0000 0.0000
0.0000 4.9968 0.0000
0.0000 0.0000 4.9661
Ti Se Br V
1 2 1 1
Direct
0.0000 0.0000 0.0000
0.0000 0.5000 0.0000
0.5000 0.0000 0.0000
0.0000 0.0000 0.5000
0.5000 0.5000 0.5000
```

A plane-wave DFT calculation with GGA-PBE was carried out for a geometry-optimized TiWSe2Br structure.

Results
energy relative to the lowest polymorph listed for this composition	27	meV per atom
magnetization	0.15	Bohr magnetons per cell
space group	P4/mmm, No. 123
density	6.261	g/cm3
calculated total energy	-5.2251	eV/atom

```
TiWSe2Br
1.0
-3.3508 -3.0189 -1.8639
3.1245 -1.2962 -3.5175
1.8010 -3.8665 3.0247
Se Br W Ti
2 1 1 1
Direct
0.0000 0.5000 0.0000
0.5000 0.0000 0.0000
0.0000 0.0000 0.5000
0.0000 0.0000 0.0000
0.5000 0.5000 0.5000
```

A plane-wave DFT calculation with GGA-PBE was carried out for a geometry-optimized TiWSeBr2 structure.

Results
energy relative to the lowest polymorph listed for this composition	165	meV per atom
magnetization	1.84	Bohr magnetons per cell
space group	P4/mmm, No. 123
density	5.964	g/cm3
calculated total energy	-4.7187	eV/atom

```
TiWSeBr2
1.0
-0.9736 -4.0733 -3.0536
-0.2662 -3.0639 4.1720
-4.7831 0.8849 0.3447
Se Br W Ti
1 2 1 1
Direct
0.0000 0.0000 0.5000
0.0000 0.5000 0.0000
0.5000 0.0000 0.0000
0.0000 0.0000 0.0000
0.5000 0.5000 0.5000
```

A plane-wave DFT calculation with GGA-PBE was carried out for a geometry-optimized TiWSe2Br structure.

Results
energy relative to the lowest polymorph listed for this composition	0	meV per atom
magnetization	4.92	Bohr magnetons per cell
space group	P4/mmm, No. 123
density	6.356	g/cm3
calculated total energy	-5.2525	eV/atom

```
TiWSe2Br
1.0
5.0278 0.0000 0.0000
0.0000 5.0278 0.0000
0.0000 0.0000 4.8530
Se Br W Ti
2 1 1 1
Direct
0.0000 0.5000 0.0000
0.5000 0.0000 0.0000
0.0000 0.0000 0.5000
0.5000 0.5000 0.5000
0.0000 0.0000 0.0000
```

A plane-wave DFT calculation with GGA-PBE was carried out for a geometry-optimized TiWSeBr2 structure.

Results
energy relative to the lowest polymorph listed for this composition	0	meV per atom
magnetization	5.98	Bohr magnetons per cell
space group	P4/mmm, No. 123
density	6.010	g/cm3
calculated total energy	-4.8838	eV/atom

```
TiWSeBr2
1.0
4.9822 0.0000 0.0000
0.0000 4.9822 0.0000
0.0000 0.0000 5.2367
Se Br W Ti
1 2 1 1
Direct
0.0000 0.0000 0.5000
0.0000 0.5000 0.0000
0.5000 0.0000 0.0000
0.5000 0.5000 0.5000
0.0000 0.0000 0.0000
```

A plane-wave DFT calculation with GGA-PBE was carried out for a geometry-optimized YTiSe2Br structure.

Results
energy relative to the lowest polymorph listed for this composition	474	meV per atom
magnetization	0.40	Bohr magnetons per cell
space group	P4/mmm, No. 123
density	3.875	g/cm3
calculated total energy	-4.9539	eV/atom

```
YTiSe2Br
1.0
-1.0225 -2.1982 4.9074
2.6066 -4.5719 -1.5048
4.6040 2.0124 1.8608
Y Se Br Ti
1 2 1 1
Direct
0.0000 0.0000 0.0000
0.0000 0.5000 0.0000
0.5000 0.0000 0.0000
0.0000 0.0000 0.5000
0.5000 0.5000 0.5000
```

A plane-wave DFT calculation with GGA-PBE was carried out for a geometry-optimized YTiSe2Br structure.

Results
energy relative to the lowest polymorph listed for this composition	0	meV per atom
magnetization	0.45	Bohr magnetons per cell
space group	P4/mmm, No. 123
density	5.062	g/cm3
calculated total energy	-5.4276	eV/atom

```
YTiSe2Br
1.0
-4.3373 0.0550 -2.5253
0.3764 -4.9479 -0.7542
-2.4272 -0.8174 4.1511
Y Se Br Ti
1 2 1 1
Direct
0.5000 0.5000 0.5000
0.0000 0.5000 0.0000
0.5000 0.0000 0.0000
0.0000 0.0000 0.5000
0.0000 0.0000 0.0000
```

A plane-wave DFT calculation with GGA-PBE was carried out for a geometry-optimized ZrTiSe2Br structure.

Results
energy relative to the lowest polymorph listed for this composition	0	meV per atom
magnetization	2.07	Bohr magnetons per cell
space group	P4/mmm, No. 123
density	5.186	g/cm3
calculated total energy	-5.2784	eV/atom

```
ZrTiSe2Br
1.0
-1.6351 -4.6292 0.7729
4.3779 -1.7994 -1.5155
1.6629 0.1792 4.5911
Se Br Zr Ti
2 1 1 1
Direct
0.0000 0.5000 0.0000
0.5000 0.0000 0.0000
0.0000 0.0000 0.5000
0.5000 0.5000 0.5000
0.0000 0.0000 0.0000
```

A plane-wave DFT calculation with GGA-PBE was carried out for a geometry-optimized ZrTiSe2Br structure.

Results
energy relative to the lowest polymorph listed for this composition	139	meV per atom
magnetization	0.12	Bohr magnetons per cell
space group	P4/mmm, No. 123
density	4.386	g/cm3
calculated total energy	-5.1389	eV/atom

```
ZrTiSe2Br
1.0
-0.0455 5.2287 0.2985
-3.4864 -0.2530 3.9002
3.8820 -0.1637 3.4594
Se Br Zr Ti
2 1 1 1
Direct
0.0000 0.5000 0.0000
0.5000 0.0000 0.0000
0.0000 0.0000 0.5000
0.0000 0.0000 0.0000
0.5000 0.5000 0.5000
```